Below is an optimized crystal structure of SiHgO3, with properties calculated at the GGA-PBEsol level.

Cell and atoms, written as POSCAR:
```
SiHgO3
1.0
-0.556 1.217 -3.371
-0.844 -3.360 -1.074
-3.483 0.620 0.798
Hg O Si
1 3 1
Cartesian
-2.441 -0.762 -1.823
-1.741 0.310 0.399
-0.422 -1.680 -0.537
-0.278 0.608 -1.685
0.000 0.000 0.000
```

Properties
For the uncorrected energy, the calculation gives -5.840 eV/atom. For the mass density, the calculation gives 9.633 g/cm3. The value obtained for the density of states at the Fermi level is 0.9 states/eV/cell. Its symmetry is No. 221. The formation energy (no corrections) is -1.427 eV/atom.